Version one
A relaxed structure of Sr2MgTe. Source: the Alexandria database, functional PBEsol.

Cell: 4.114 5.417 12.369 Å, 90.00 90.00 90.00°
Fractional coordinates of all 8 atoms:
Sr  0.000  0.000  0.000
Sr  0.000  0.500  0.213
Sr  0.500  0.000  0.713
Sr  0.500  0.500  0.500
Mg  0.000  0.000  0.427
Mg  0.500  0.500  0.927
Te  0.000  0.500  0.728
Te  0.500  0.000  0.228

Computed properties:
Crystal system: orthorhombic
DOS at the Fermi energy: 2.761 states/eV per cell
SG: No. 44
Spin magnetization: 0.00 μB per atom

Version two
A relaxed structure of Sr2MgTe. Source: the Alexandria database, functional PBEsol.

Cell: 5.156 5.169 9.904 Å, 90.00 90.00 90.00°
Fractional coordinates of all 8 atoms:
Sr  0.000  0.000  0.250
Sr  0.000  0.000  0.750
Sr  0.500  0.500  0.250
Sr  0.500  0.500  0.750
Mg  0.000  0.500  0.000
Mg  0.500  0.000  0.500
Te  0.000  0.500  0.500
Te  0.500  0.000  0.000

Computed properties:
Crystal system: orthorhombic
DOS at the Fermi energy: 2.024 states/eV per cell
SG: No. 71
Spin magnetization: 0.00 μB per atom

version one takes first place; second place is 4.8 kJ/mol of atoms up.

Version one
A relaxed structure of SrMg2Tl. Source: the Alexandria database, functional PBEsol.

Cell: 6.710 9.566 3.712 Å, 90.00 90.00 90.00°
Fractional coordinates of all 8 atoms:
Sr  0.000  0.000  0.000
Sr  0.500  0.500  0.000
Mg  0.250  0.250  0.500
Mg  0.250  0.750  0.500
Mg  0.750  0.250  0.500
Mg  0.750  0.750  0.500
Tl  0.000  0.500  0.000
Tl  0.500  0.000  0.000

Computed properties:
Crystal system: orthorhombic
DOS at the Fermi energy: 5.943 states/eV per cell
SG: No. 65
Spin magnetization: 0.00 μB per atom

Version two
A relaxed structure of SrMg2Tl. Source: the Alexandria database, functional PBEsol.

Cell: 7.554 7.554 7.554 Å, 90.00 90.00 90.00°
Fractional coordinates of all 16 atoms:
Sr  0.000  0.000  0.000
Sr  0.000  0.500  0.500
Sr  0.500  0.000  0.500
Sr  0.500  0.500  0.000
Mg  0.000  0.000  0.500
Mg  0.000  0.500  0.000
Mg  0.250  0.250  0.250
Mg  0.250  0.750  0.750
Mg  0.500  0.000  0.000
Mg  0.500  0.500  0.500
Mg  0.750  0.250  0.750
Mg  0.750  0.750  0.250
Tl  0.250  0.250  0.750
Tl  0.250  0.750  0.250
Tl  0.750  0.250  0.250
Tl  0.750  0.750  0.750

Computed properties:
Crystal system: cubic
DOS at the Fermi energy: 5.410 states/eV per cell
SG: No. 216
Spin magnetization: 0.00 μB per atom

version two takes first place; second place is 18.4 kJ/mol of atoms up.

Version one
A relaxed structure of SrMg2Tl. Source: the Alexandria database, functional PBEsol.

Cell: 3.896 3.896 7.574 Å, 90.00 90.00 90.00°
Fractional coordinates of all 4 atoms:
Sr  0.000  0.000  0.000
Mg  0.500  0.500  0.295
Mg  0.500  0.500  0.705
Tl  0.000  0.000  0.500

Computed properties:
Crystal system: tetragonal
DOS at the Fermi energy: 2.125 states/eV per cell
SG: No. 123
Spin magnetization: 0.00 μB per atom

Version two
A relaxed structure of SrMg2Tl. Source: the Alexandria database, functional PBEsol.

Cell: 4.075 5.375 10.483 Å, 90.00 90.00 90.00°
Fractional coordinates of all 8 atoms:
Sr  0.000  0.000  0.000
Sr  0.500  0.500  0.500
Mg  0.000  0.500  0.225
Mg  0.000  0.500  0.775
Mg  0.500  0.000  0.275
Mg  0.500  0.000  0.725
Tl  0.000  0.000  0.500
Tl  0.500  0.500  0.000

Computed properties:
Crystal system: orthorhombic
DOS at the Fermi energy: 4.571 states/eV per cell
SG: No. 71
Spin magnetization: 0.00 μB per atom

Version three
A relaxed structure of SrMg2Tl. Source: the Alexandria database, functional PBEsol.

Cell: 4.700 4.700 5.108 Å, 90.00 90.00 90.00°
Fractional coordinates of all 4 atoms:
Sr  0.000  0.000  0.000
Mg  0.000  0.500  0.500
Mg  0.500  0.000  0.500
Tl  0.500  0.500  0.000

Computed properties:
Crystal system: tetragonal
DOS at the Fermi energy: 2.920 states/eV per cell
SG: No. 123
Spin magnetization: 0.00 μB per atom

version three takes first place; second place is 1.0 kJ/mol of atoms up.

Version one
A relaxed structure of SrMgW3. Source: the Alexandria database, functional PBEsol.

Cell: 4.777 4.777 4.777 Å, 90.00 90.00 90.00°
Fractional coordinates of all 5 atoms:
Sr  0.000  0.000  0.000
Mg  0.500  0.500  0.500
W  0.000  0.000  0.500
W  0.000  0.500  0.000
W  0.500  0.000  0.000

Computed properties:
Crystal system: cubic
DOS at the Fermi energy: 5.423 states/eV per cell
SG: No. 221
Spin magnetization: 0.00 μB per atom

Version two
A relaxed structure of SrMgW3. Source: the Alexandria database, functional PBEsol.

Cell: 4.761 4.761 4.761 Å, 90.00 90.00 90.00°
Fractional coordinates of all 5 atoms:
Sr  0.000  0.000  0.000
Mg  0.500  0.500  0.500
W  0.000  0.500  0.500
W  0.500  0.000  0.500
W  0.500  0.500  0.000

Computed properties:
Crystal system: cubic
DOS at the Fermi energy: 8.775 states/eV per cell
SG: No. 221
Spin magnetization: 0.00 μB per atom

version two takes first place; second place is 83.4 kJ/mol of atoms up.